# PmScAlCd, relaxed, DFT GGA-PBE
# Fermi-level density of states: 0.90 states/eV per atom
# Calculated total energy: -4.265 eV/atom
# Magnetic moment: 0.00 μB per cell
# Energy of formation: -0.33 eV per atom
data_PmScAlCd
_chemical_formula_sum 'Pm4 Sc4 Al4 Cd4'
_symmetry_space_group_name_H-M 'F -4 3 m'
_symmetry_Int_Tables_number 216
_symmetry_space_group_name_Hall 'F -4 2 3'
_cell_length_a 7.255
_cell_length_b 7.255
_cell_length_c 7.255
_cell_angle_alpha 90.00
_cell_angle_beta 90.00
_cell_angle_gamma 90.00
loop_
_atom_site_label
_atom_site_type_symbol
_atom_site_fract_x
_atom_site_fract_y
_atom_site_fract_z
_atom_site_occupancy
Pm1 Pm 0.000 0.000 0.000 1
Sc1 Sc 0.000 0.000 0.500 1
Al1 Al 0.250 0.250 0.750 1
Cd1 Cd 0.250 0.250 0.250 1

***

# PmSmAlCd, relaxed, DFT GGA-PBE
# Fermi-level density of states: 0.52 states/eV per atom
# Calculated total energy: -3.885 eV/atom
# Magnetic moment: 0.00 μB per cell
# Energy of formation: -0.35 eV per atom
data_PmSmAlCd
_chemical_formula_sum 'Pm1 Sm1 Al1 Cd1'
_symmetry_space_group_name_H-M 'P 4 m m'
_symmetry_Int_Tables_number 99
_cell_length_a 3.580
_cell_length_b 3.580
_cell_length_c 8.233
_cell_angle_alpha 90.00
_cell_angle_beta 90.00
_cell_angle_gamma 90.00
loop_
_symmetry_equiv_pos_as_xyz
'x,y,z'
'-y,x,z'
'-x,-y,z'
'y,-x,z'
'-x,y,z'
'y,x,z'
'x,-y,z'
'-y,-x,z'
loop_
_atom_site_label
_atom_site_type_symbol
_atom_site_fract_x
_atom_site_fract_y
_atom_site_fract_z
_atom_site_occupancy
Pm1 Pm 0.000 0.000 0.000 1
Sm1 Sm 0.000 0.000 0.473 1
Al1 Al 0.500 0.500 0.238 1
Cd1 Cd 0.500 0.500 0.734 1

***

# PmSmAlCd, relaxed, DFT GGA-PBE
# Fermi-level density of states: 1.02 states/eV per atom
# Calculated total energy: -3.872 eV/atom
# Magnetic moment: 0.00 μB per cell
# Energy of formation: -0.34 eV per atom
data_PmSmAlCd
_chemical_formula_sum 'Pm4 Sm4 Al4 Cd4'
_symmetry_space_group_name_H-M 'F -4 3 m'
_symmetry_Int_Tables_number 216
_symmetry_space_group_name_Hall 'F -4 2 3'
_cell_length_a 7.531
_cell_length_b 7.531
_cell_length_c 7.531
_cell_angle_alpha 90.00
_cell_angle_beta 90.00
_cell_angle_gamma 90.00
loop_
_atom_site_label
_atom_site_type_symbol
_atom_site_fract_x
_atom_site_fract_y
_atom_site_fract_z
_atom_site_occupancy
Pm1 Pm 0.000 0.000 0.000 1
Sm1 Sm 0.000 0.000 0.500 1
Al1 Al 0.250 0.250 0.750 1
Cd1 Cd 0.250 0.250 0.250 1

***

# SrPmAlCd, relaxed, DFT GGA-PBE
# Fermi-level density of states: 0.72 states/eV per atom
# Calculated total energy: -3.010 eV/atom
# Magnetic moment: 0.00 μB per cell
# Energy of formation: -0.24 eV per atom
data_SrPmAlCd
_chemical_formula_sum 'Sr4 Pm4 Al4 Cd4'
_symmetry_space_group_name_H-M 'F -4 3 m'
_symmetry_Int_Tables_number 216
_symmetry_space_group_name_Hall 'F -4 2 3'
_cell_length_a 7.762
_cell_length_b 7.762
_cell_length_c 7.762
_cell_angle_alpha 90.00
_cell_angle_beta 90.00
_cell_angle_gamma 90.00
loop_
_atom_site_label
_atom_site_type_symbol
_atom_site_fract_x
_atom_site_fract_y
_atom_site_fract_z
_atom_site_occupancy
Sr1 Sr 0.000 0.000 0.000 1
Pm1 Pm 0.000 0.000 0.500 1
Al1 Al 0.250 0.250 0.250 1
Cd1 Cd 0.250 0.250 0.750 1

***

# TbPmAlCd, relaxed, DFT GGA-PBE
# Fermi-level density of states: 0.66 states/eV per atom
# Calculated total energy: -3.868 eV/atom
# Magnetic moment: 0.00 μB per cell
# Energy of formation: -0.36 eV per atom
data_TbPmAlCd
_chemical_formula_sum 'Tb1 Pm1 Al1 Cd1'
_symmetry_space_group_name_H-M 'P 4 m m'
_symmetry_Int_Tables_number 99
_cell_length_a 3.652
_cell_length_b 3.652
_cell_length_c 7.765
_cell_angle_alpha 90.00
_cell_angle_beta 90.00
_cell_angle_gamma 90.00
loop_
_symmetry_equiv_pos_as_xyz
'x,y,z'
'-y,x,z'
'-x,-y,z'
'y,-x,z'
'-x,y,z'
'y,x,z'
'x,-y,z'
'-y,-x,z'
loop_
_atom_site_label
_atom_site_type_symbol
_atom_site_fract_x
_atom_site_fract_y
_atom_site_fract_z
_atom_site_occupancy
Tb1 Tb 0.000 0.000 0.000 1
Pm1 Pm 0.000 0.000 0.525 1
Al1 Al 0.500 0.500 0.769 1
Cd1 Cd 0.500 0.500 0.251 1

***

# TbPmAlCd, relaxed, DFT GGA-PBE
# Fermi-level density of states: 0.89 states/eV per atom
# Calculated total energy: -3.856 eV/atom
# Magnetic moment: 0.00 μB per cell
# Energy of formation: -0.35 eV per atom
data_TbPmAlCd
_chemical_formula_sum 'Tb4 Pm4 Al4 Cd4'
_symmetry_space_group_name_H-M 'F -4 3 m'
_symmetry_Int_Tables_number 216
_symmetry_space_group_name_Hall 'F -4 2 3'
_cell_length_a 7.470
_cell_length_b 7.470
_cell_length_c 7.470
_cell_angle_alpha 90.00
_cell_angle_beta 90.00
_cell_angle_gamma 90.00
loop_
_atom_site_label
_atom_site_type_symbol
_atom_site_fract_x
_atom_site_fract_y
_atom_site_fract_z
_atom_site_occupancy
Tb1 Tb 0.000 0.000 0.000 1
Pm1 Pm 0.000 0.000 0.500 1
Al1 Al 0.250 0.250 0.250 1
Cd1 Cd 0.250 0.250 0.750 1

***

# PmThAlCd, relaxed, DFT GGA-PBE
# Fermi-level density of states: 0.65 states/eV per atom
# Calculated total energy: -4.436 eV/atom
# Magnetic moment: 0.00 μB per cell
# Energy of formation: -0.23 eV per atom
data_PmThAlCd
_chemical_formula_sum 'Pm4 Th4 Al4 Cd4'
_symmetry_space_group_name_H-M 'F -4 3 m'
_symmetry_Int_Tables_number 216
_symmetry_space_group_name_Hall 'F -4 2 3'
_cell_length_a 7.560
_cell_length_b 7.560
_cell_length_c 7.560
_cell_angle_alpha 90.00
_cell_angle_beta 90.00
_cell_angle_gamma 90.00
loop_
_atom_site_label
_atom_site_type_symbol
_atom_site_fract_x
_atom_site_fract_y
_atom_site_fract_z
_atom_site_occupancy
Pm1 Pm 0.000 0.000 0.000 1
Th1 Th 0.000 0.000 0.500 1
Al1 Al 0.250 0.250 0.750 1
Cd1 Cd 0.250 0.250 0.250 1

***

# Pm4AlZn2Cd, relaxed, DFT GGA-PBE
# Fermi-level density of states: 1.16 states/eV per atom
# Calculated total energy: -3.595 eV/atom
# Magnetic moment: 0.00 μB per cell
# Energy of formation: -0.32 eV per atom
data_Pm4AlZn2Cd
_chemical_formula_sum 'Pm12 Al3 Zn6 Cd3'
_symmetry_space_group_name_H-M 'R -3 m'
_symmetry_Int_Tables_number 166
_symmetry_space_group_name_Hall '-R 3 2"'
_cell_length_a 5.2498
_cell_length_b 5.2498
_cell_length_c 25.8589
_cell_angle_alpha 90.00
_cell_angle_beta 90.00
_cell_angle_gamma 120.00
loop_
_atom_site_label
_atom_site_type_symbol
_atom_site_fract_x
_atom_site_fract_y
_atom_site_fract_z
_atom_site_occupancy
Pm1 Pm 0.0000 0.0000 0.1221 1
Pm2 Pm 0.0000 0.0000 0.3722 1
Al1 Al 0.0000 0.0000 0.0000 1
Zn1 Zn 0.0000 0.0000 0.2490 1
Cd1 Cd 0.0000 0.0000 0.5000 1

***

# Pm4Al2ZnCd, relaxed, DFT GGA-PBE
# Fermi-level density of states: 1.01 states/eV per atom
# Calculated total energy: -3.928 eV/atom
# Magnetic moment: 0.00 μB per cell
# Energy of formation: -0.34 eV per atom
data_Pm4Al2ZnCd
_chemical_formula_sum 'Pm12 Al6 Zn3 Cd3'
_symmetry_space_group_name_H-M 'R -3 m'
_symmetry_Int_Tables_number 166
_symmetry_space_group_name_Hall '-R 3 2"'
_cell_length_a 5.2788
_cell_length_b 5.2788
_cell_length_c 25.8333
_cell_angle_alpha 90.00
_cell_angle_beta 90.00
_cell_angle_gamma 120.00
loop_
_atom_site_label
_atom_site_type_symbol
_atom_site_fract_x
_atom_site_fract_y
_atom_site_fract_z
_atom_site_occupancy
Pm1 Pm 0.0000 0.0000 0.1212 1
Pm2 Pm 0.0000 0.0000 0.3713 1
Al1 Al 0.0000 0.0000 0.2479 1
Zn1 Zn 0.0000 0.0000 0.0000 1
Cd1 Cd 0.0000 0.0000 0.5000 1

***

# Pm2Al4Zn3Cd, relaxed, DFT GGA-PBE
# Fermi-level density of states: 0.17 states/eV per atom
# Calculated total energy: -3.300 eV/atom
# Magnetic moment: 0.00 μB per cell
# Energy of formation: -0.38 eV per atom
data_Pm2Al4Zn3Cd
_chemical_formula_sum 'Pm2 Al4 Zn3 Cd1'
_symmetry_space_group_name_H-M 'P -4 m 2'
_symmetry_Int_Tables_number 115
_cell_length_a 4.276
_cell_length_b 4.276
_cell_length_c 10.919
_cell_angle_alpha 90.00
_cell_angle_beta 90.00
_cell_angle_gamma 90.00
loop_
_symmetry_equiv_pos_as_xyz
'x,y,z'
'y,-x,-z'
'-x,-y,z'
'-y,x,-z'
'-x,y,z'
'-y,-x,-z'
'x,-y,z'
'y,x,-z'
loop_
_atom_site_label
_atom_site_type_symbol
_atom_site_fract_x
_atom_site_fract_y
_atom_site_fract_z
_atom_site_occupancy
Pm1 Pm 0.000 0.500 0.244 1
Al1 Al 0.000 0.000 0.000 1
Al2 Al 0.000 0.500 0.643 1
Al3 Al 0.500 0.500 0.000 1
Zn1 Zn 0.000 0.500 0.867 1
Zn2 Zn 0.500 0.500 0.500 1
Cd1 Cd 0.000 0.000 0.500 1

***

# Pm2Al3Zn4Cd, relaxed, DFT GGA-PBE
# Fermi-level density of states: 0.49 states/eV per atom
# Calculated total energy: -3.037 eV/atom
# Magnetic moment: 0.00 μB per cell
# Energy of formation: -0.36 eV per atom
data_Pm2Al3Zn4Cd
_chemical_formula_sum 'Pm2 Al3 Zn4 Cd1'
_symmetry_space_group_name_H-M 'P -4 m 2'
_symmetry_Int_Tables_number 115
_cell_length_a 4.295
_cell_length_b 4.295
_cell_length_c 10.827
_cell_angle_alpha 90.00
_cell_angle_beta 90.00
_cell_angle_gamma 90.00
loop_
_symmetry_equiv_pos_as_xyz
'x,y,z'
'y,-x,-z'
'-x,-y,z'
'-y,x,-z'
'-x,y,z'
'-y,-x,-z'
'x,-y,z'
'y,x,-z'
loop_
_atom_site_label
_atom_site_type_symbol
_atom_site_fract_x
_atom_site_fract_y
_atom_site_fract_z
_atom_site_occupancy
Pm1 Pm 0.000 0.500 0.240 1
Al1 Al 0.000 0.500 0.871 1
Al2 Al 0.500 0.500 0.500 1
Zn1 Zn 0.000 0.000 0.000 1
Zn2 Zn 0.000 0.500 0.644 1
Zn3 Zn 0.500 0.500 0.000 1
Cd1 Cd 0.000 0.000 0.500 1

***

# PmZrAlCd, relaxed, DFT GGA-PBE
# Fermi-level density of states: 0.37 states/eV per atom
# Calculated total energy: -4.703 eV/atom
# Magnetic moment: 0.00 μB per cell
# Energy of formation: -0.21 eV per atom
data_PmZrAlCd
_chemical_formula_sum 'Pm4 Zr4 Al4 Cd4'
_symmetry_space_group_name_H-M 'F -4 3 m'
_symmetry_Int_Tables_number 216
_symmetry_space_group_name_Hall 'F -4 2 3'
_cell_length_a 7.212
_cell_length_b 7.212
_cell_length_c 7.212
_cell_angle_alpha 90.00
_cell_angle_beta 90.00
_cell_angle_gamma 90.00
loop_
_atom_site_label
_atom_site_type_symbol
_atom_site_fract_x
_atom_site_fract_y
_atom_site_fract_z
_atom_site_occupancy
Pm1 Pm 0.000 0.000 0.000 1
Zr1 Zr 0.000 0.000 0.500 1
Al1 Al 0.250 0.250 0.750 1
Cd1 Cd 0.250 0.250 0.250 1